Entry 1:
Here is a geometry-optimized NdY2Au structure from Alexandria. Energies are from PBE-GGA.

```
data_NdY2Au
_cell_length_a 7.036
_cell_length_b 10.044
_cell_length_c 6.708
_cell_angle_alpha 90.00
_cell_angle_beta 90.00
_cell_angle_gamma 90.00
_symmetry_space_group_name_H-M 'P n m a'
_symmetry_Int_Tables_number 62
_symmetry_space_group_name_Hall '-P 2ac 2n'
loop_
_atom_site_label
_atom_site_fract_x
_atom_site_fract_y
_atom_site_fract_z
Nd1 0.003 0.250 0.129
Y1 0.184 0.053 0.680
Au1 0.107 0.750 0.433
```

DFT total energy: -0.417 Ry per atom
energy above the most stable polymorph in this dataset: 0.0 meV per atom


Entry 2:
Here is a geometry-optimized FeIrCl2 structure from Alexandria. Energies are from PBE-GGA.

```
data_FeIrCl2
_cell_length_a 6.422
_cell_length_b 6.422
_cell_length_c 6.422
_cell_angle_alpha 90.00
_cell_angle_beta 90.00
_cell_angle_gamma 90.00
_symmetry_space_group_name_H-M 'F -4 3 m'
_symmetry_Int_Tables_number 216
_symmetry_space_group_name_Hall 'F -4 2 3'
loop_
_atom_site_label
_atom_site_fract_x
_atom_site_fract_y
_atom_site_fract_z
Fe1 0.000 0.000 0.000
Ir1 0.250 0.250 0.250
Cl1 0.000 0.000 0.500
Cl2 0.250 0.250 0.750
```

DFT total energy: -0.317 Ry per atom
energy above the most stable polymorph in this dataset: 1011.4 meV per atom


Entry 3:
Here is a geometry-optimized VInMo2Pd structure from Alexandria. Energies are from PBE-GGA.

```
data_VInMo2Pd
_cell_length_a 4.984
_cell_length_b 4.984
_cell_length_c 4.753
_cell_angle_alpha 90.00
_cell_angle_beta 90.00
_cell_angle_gamma 90.00
_symmetry_space_group_name_H-M 'P 4/m m m'
_symmetry_Int_Tables_number 123
_symmetry_space_group_name_Hall '-P 4 2'
loop_
_atom_site_label
_atom_site_fract_x
_atom_site_fract_y
_atom_site_fract_z
V1 0.000 0.000 0.000
In1 0.500 0.500 0.500
Mo1 0.000 0.500 0.500
Pd1 0.500 0.500 0.000
```

DFT total energy: -0.407 Ry per atom


Entry 4:
Here is a geometry-optimized Pu7UGe4 structure from Alexandria. Energies are from PBE-GGA.

```
data_Pu7UGe4
_cell_length_a 13.032
_cell_length_b 4.493
_cell_length_c 8.846
_cell_angle_alpha 90.00
_cell_angle_beta 112.31
_cell_angle_gamma 90.00
_symmetry_space_group_name_H-M 'C 1 2/m 1'
_symmetry_Int_Tables_number 12
_symmetry_space_group_name_Hall '-C 2y'
loop_
_atom_site_label
_atom_site_fract_x
_atom_site_fract_y
_atom_site_fract_z
Pu1 0.000 0.000 0.000
Pu2 0.076 0.500 0.352
Pu3 0.089 0.000 0.482
Pu4 0.202 0.500 0.999
U1 0.000 0.500 0.000
Ge1 0.094 0.000 0.786
Ge2 0.233 0.000 0.294
```

DFT total energy: -0.771 Ry per atom


Entry 5:
Here is a geometry-optimized NpFeSiRu structure from Alexandria. Energies are from PBE-GGA.

```
data_NpFeSiRu
_cell_length_a 6.266
_cell_length_b 6.266
_cell_length_c 6.266
_cell_angle_alpha 90.00
_cell_angle_beta 90.00
_cell_angle_gamma 90.00
_symmetry_space_group_name_H-M 'F -4 3 m'
_symmetry_Int_Tables_number 216
_symmetry_space_group_name_Hall 'F -4 2 3'
loop_
_atom_site_label
_atom_site_fract_x
_atom_site_fract_y
_atom_site_fract_z
Np1 0.000 0.000 0.000
Fe1 0.250 0.250 0.750
Si1 0.000 0.000 0.500
Ru1 0.250 0.250 0.250
```

DFT total energy: -0.674 Ry per atom


Entry 6:
Here is a geometry-optimized Mg3Ni structure from Alexandria. Energies are from PBE-GGA.

```
data_Mg3Ni
_cell_length_a 6.541
_cell_length_b 6.541
_cell_length_c 6.541
_cell_angle_alpha 90.00
_cell_angle_beta 90.00
_cell_angle_gamma 90.00
_symmetry_space_group_name_H-M 'F m -3 m'
_symmetry_Int_Tables_number 225
_symmetry_space_group_name_Hall '-F 4 2 3'
loop_
_atom_site_label
_atom_site_fract_x
_atom_site_fract_y
_atom_site_fract_z
Mg1 0.000 0.000 0.000
Mg2 0.250 0.250 0.250
Ni1 0.000 0.000 0.500
```

DFT total energy: -0.195 Ry per atom


Entry 7:
Here is a geometry-optimized LiAu2 structure from Alexandria. Energies are from PBE-GGA.

```
data_LiAu2
_cell_length_a 5.948
_cell_length_b 5.948
_cell_length_c 5.948
_cell_angle_alpha 90.00
_cell_angle_beta 90.00
_cell_angle_gamma 90.00
_symmetry_space_group_name_H-M 'F m -3 m'
_symmetry_Int_Tables_number 225
_symmetry_space_group_name_Hall '-F 4 2 3'
loop_
_atom_site_label
_atom_site_fract_x
_atom_site_fract_y
_atom_site_fract_z
Li1 0.000 0.000 0.000
Au1 0.250 0.250 0.250
```

DFT total energy: -0.224 Ry per atom


Entry 8:
Here is a geometry-optimized Ca2GaIN structure from Alexandria. Energies are from PBE-GGA.

```
data_Ca2GaIN
_cell_length_a 5.678
_cell_length_b 5.678
_cell_length_c 5.373
_cell_angle_alpha 90.00
_cell_angle_beta 90.00
_cell_angle_gamma 90.00
_symmetry_space_group_name_H-M 'P 4/m m m'
_symmetry_Int_Tables_number 123
_symmetry_space_group_name_Hall '-P 4 2'
loop_
_atom_site_label
_atom_site_fract_x
_atom_site_fract_y
_atom_site_fract_z
Ca1 0.000 0.500 0.000
Ga1 0.000 0.000 0.000
I1 0.000 0.000 0.500
N1 0.500 0.500 0.500
```

DFT total energy: -0.177 Ry per atom


Entry 9:
Here is a geometry-optimized TmNbH structure from Alexandria. Energies are from PBE-GGA.

```
data_TmNbH
_cell_length_a 3.058
_cell_length_b 10.504
_cell_length_c 5.870
_cell_angle_alpha 90.00
_cell_angle_beta 90.00
_cell_angle_gamma 90.00
_symmetry_space_group_name_H-M 'I m m 2'
_symmetry_Int_Tables_number 44
_symmetry_space_group_name_Hall 'I 2 -2'
loop_
_atom_site_label
_atom_site_fract_x
_atom_site_fract_y
_atom_site_fract_z
Tm1 0.000 0.000 0.000
Tm2 0.000 0.500 0.009
Nb1 0.000 0.249 0.740
H1 0.000 0.166 0.425
```

DFT total energy: -0.437 Ry per atom


Entry 10:
Here is a geometry-optimized Tl5AgBr6 structure from Alexandria. Energies are from PBE-GGA.

```
data_Tl5AgBr6
_cell_length_a 8.127
_cell_length_b 13.801
_cell_length_c 8.091
_cell_angle_alpha 90.00
_cell_angle_beta 109.68
_cell_angle_gamma 90.00
_symmetry_space_group_name_H-M 'C 1 2/m 1'
_symmetry_Int_Tables_number 12
_symmetry_space_group_name_Hall '-C 2y'
loop_
_atom_site_label
_atom_site_fract_x
_atom_site_fract_y
_atom_site_fract_z
Tl1 0.000 0.000 0.000
Tl2 0.000 0.164 0.500
Tl3 0.000 0.328 0.000
Ag1 0.000 0.500 0.500
Br1 0.219 0.351 0.722
Br2 0.228 0.500 0.242
```

DFT total energy: -0.207 Ry per atom


Entry 11:
Here is a geometry-optimized K2RhIO6 structure from Alexandria. Energies are from PBE-GGA.

```
data_K2RhIO6
_cell_length_a 5.8884
_cell_length_b 5.8884
_cell_length_c 29.5730
_cell_angle_alpha 90.00
_cell_angle_beta 90.00
_cell_angle_gamma 120.00
_symmetry_space_group_name_H-M 'R -3 m'
_symmetry_Int_Tables_number 166
_symmetry_space_group_name_Hall '-R 3 2"'
loop_
_atom_site_label
_atom_site_fract_x
_atom_site_fract_y
_atom_site_fract_z
K1 0.0000 0.0000 0.1237
K2 0.0000 0.0000 0.2852
Rh1 0.0000 0.0000 0.4075
I1 0.0000 0.0000 0.0000
I2 0.0000 0.0000 0.5000
O1 0.0058 0.5029 0.7064
O2 0.0411 0.5205 0.1252
```

DFT total energy: -0.361 Ry per atom


Entry 12:
Here is a geometry-optimized SnAuF structure from Alexandria. Energies are from PBE-GGA.

```
data_SnAuF
_cell_length_a 4.257
_cell_length_b 4.269
_cell_length_c 7.597
_cell_angle_alpha 76.93
_cell_angle_beta 76.78
_cell_angle_gamma 65.61
_symmetry_space_group_name_H-M 'P -1'
_symmetry_Int_Tables_number 2
_symmetry_space_group_name_Hall '-P 1'
loop_
_atom_site_label
_atom_site_fract_x
_atom_site_fract_y
_atom_site_fract_z
Sn1 0.041 0.036 0.234
Au1 0.352 0.350 0.403
F1 0.183 0.183 0.940
```

DFT total energy: -0.301 Ry per atom
energy above the most stable polymorph in this dataset: 83.9 meV per atom


Which value of DFT total energy does entry 10 give? -0.207 Ry per atom


Copy entry 7 word for word.
Here is a geometry-optimized LiAu2 structure from Alexandria. Energies are from PBE-GGA.

```
data_LiAu2
_cell_length_a 5.948
_cell_length_b 5.948
_cell_length_c 5.948
_cell_angle_alpha 90.00
_cell_angle_beta 90.00
_cell_angle_gamma 90.00
_symmetry_space_group_name_H-M 'F m -3 m'
_symmetry_Int_Tables_number 225
_symmetry_space_group_name_Hall '-F 4 2 3'
loop_
_atom_site_label
_atom_site_fract_x
_atom_site_fract_y
_atom_site_fract_z
Li1 0.000 0.000 0.000
Au1 0.250 0.250 0.250
```

DFT total energy: -0.224 Ry per atom